(1)
The following is a PBE calculation of a relaxed CaIn2Ga2 crystal, from Alexandria via LeMat-Bulk.

POSCAR file:
```
CaIn2Ga2
1.0
7.9294 0.0000 0.0000
0.0000 7.9294 0.0000
0.0000 0.0000 3.8813
In Ga Ca
4 4 2
Direct
0.8262 0.3262 0.5000
0.1738 0.6738 0.5000
0.6738 0.8262 0.5000
0.3262 0.1738 0.5000
0.6215 0.1215 0.0000
0.8785 0.6215 0.0000
0.1215 0.3785 0.0000
0.3785 0.8785 0.0000
0.5000 0.5000 0.0000
0.0000 0.0000 0.0000
```

Results
As for the density: 5.568 g/cm³. The calculation puts the formation energy at -0.187 eV/atom. Its crystal system is tetragonal. The value obtained for the density of states at the Fermi level is 0.555 states/eV/atom.

(2)
The following is a PBE calculation of a relaxed CaInGa crystal, from Alexandria via LeMat-Bulk.

POSCAR file:
```
CaInGa
1.0
-6.2458 -1.7214 -0.5655
-2.1832 0.4576 7.2952
-3.3605 6.4171 2.3707
In Ca Ga
4 4 4
Direct
0.1172 0.9410 0.1916
0.8828 0.0590 0.8084
0.1172 0.4408 0.6917
0.8828 0.5592 0.3083
0.2413 0.6691 0.9188
0.7586 0.8307 0.5812
0.2414 0.1693 0.4188
0.7587 0.3309 0.0812
0.5654 0.4367 0.6869
0.5655 0.9372 0.1867
0.4346 0.5633 0.3131
0.4345 0.0628 0.8133
```

Results
As for the density: 4.577 g/cm³. The calculation puts the formation energy at -0.249 eV/atom. Its crystal system is triclinic. The value obtained for the density of states at the Fermi level is 0.502 states/eV/atom.

(3)
The following is a PBE calculation of a relaxed CaInGa2 crystal, from Alexandria via LeMat-Bulk.

POSCAR file:
```
CaInGa2
1.0
-3.2950 2.4867 -1.3965
-2.2576 -3.7248 -1.3061
-1.9390 -0.2641 4.1046
Ca In Ga
1 1 2
Direct
0.5000 0.5000 0.5000
0.5000 0.0000 0.0000
0.0000 0.0000 0.5000
0.0000 0.5000 0.0000
```

Results
As for the density: 5.424 g/cm³. The calculation puts the formation energy at -0.295 eV/atom. Its crystal system is tetragonal. The value obtained for the density of states at the Fermi level is 0.502 states/eV/atom.